No. 1
# LiTeRh2, optimized geometry, DFT GGA-PBE
data_LiTeRh2
_space_group_name_H-M_alt 'P m m 2'
_space_group_IT_number 25
_space_group_name_Hall 'P 2 -2'
_cell_length_a 3.1233
_cell_length_b 3.9015
_cell_length_c 5.2478
_cell_angle_alpha 90.00
_cell_angle_beta 90.00
_cell_angle_gamma 90.00
loop_
_atom_site_label
_atom_site_type_symbol
_atom_site_fract_x
_atom_site_fract_y
_atom_site_fract_z
Li1 Li 0.0000 0.0000 0.0000
Te1 Te 0.5000 0.5000 0.6898
Rh1 Rh 0.0000 0.0000 0.4846
Rh2 Rh 0.5000 0.5000 0.1892
# size of the total moment	0.00	μB/f.u.
# uncorrected formation energy	-0.20	eV per atom

***

No. 2
# BaNa2GaSb2, optimized geometry, DFT GGA-PBE
data_BaNa2GaSb2
_space_group_name_H-M_alt 'P m c 21'
_space_group_IT_number 26
_space_group_name_Hall 'P 2c -2'
_cell_length_a 4.8983
_cell_length_b 8.7711
_cell_length_c 8.9437
_cell_angle_alpha 90.00
_cell_angle_beta 90.00
_cell_angle_gamma 90.00
loop_
_atom_site_label
_atom_site_type_symbol
_atom_site_fract_x
_atom_site_fract_y
_atom_site_fract_z
Ba1 Ba 0.0000 0.0579 0.0000
Na1 Na 0.0000 0.3394 0.6377
Na2 Na 0.5000 0.4358 0.9399
Ga1 Ga 0.5000 0.1809 0.3501
Sb1 Sb 0.0000 0.3360 0.2798
Sb2 Sb 0.5000 0.1215 0.7205
# size of the total moment	0.00	μB/f.u.
# uncorrected formation energy	-0.54	eV per atom

***

no.,uncorrected energy (eV/cell)
1,-20.56
2,-38.10